Record 1
The following is a DFT calculation (GGA-PBE) of an optimized crystal structure of Pr2ZnGe2.

M_tot: 0.51 μB per formula unit
Calculated density: 6.9 g/cm3
Energy of formation from the pure elements: -620 meV per atom

Cell: 4.300 5.962 9.262 Å, 90.00 90.00 90.00°
Space group Immm (No. 71)
Inequivalent atoms, fractional coordinates:
Pr 0.000 0.000 0.206 x4
Zn 0.000 0.500 0.000 x2
Ge 0.000 0.276 0.500 x4


Record 2
The following is a DFT calculation (GGA-PBE) of an optimized crystal structure of Mg2GaAg5.

M_tot: 0.00 μB per formula unit
Calculated density: 7.7 g/cm3
Energy of formation from the pure elements: -147 meV per atom
Relative energy among the computed polymorphs: 0 meV/atom

Cell: 5.711 11.375 4.393 Å, 90.00 90.00 90.00°
Space group Pbam (No. 55)
Inequivalent atoms, fractional coordinates:
Mg 0.194 0.135 0.000 x4
Ga 0.000 0.500 0.500 x2
Ag 0.000 0.000 0.500 x2
Ag 0.063 0.746 0.500 x4
Ag 0.195 0.387 0.000 x4


Record 3
The following is a DFT calculation (GGA-PBE) of an optimized crystal structure of RbGaC.

M_tot: 0.00 μB per formula unit
Calculated density: 3.3 g/cm3
Energy of formation from the pure elements: 352 meV per atom

Cell: 4.643 6.258 6.869 Å, 99.45 109.45 109.11°
Space group P1 (No. 1)
Inequivalent atoms, fractional coordinates:
Rb 0.000 0.000 0.000 x1
Rb 0.470 0.356 0.639 x1
Ga 0.630 0.866 0.393 x1
Ga 0.857 0.514 0.265 x1
C 0.156 0.560 0.100 x1
C 0.425 0.551 0.088 x1


Record 4
The following is a DFT calculation (GGA-PBE) of an optimized crystal structure of Ba7Na.

M_tot: 0.00 μB per formula unit
Calculated density: 3.3 g/cm3
Energy of formation from the pure elements: 38 meV per atom

Cell: 6.214 6.214 25.660 Å, 90.00 90.00 90.00°
Space group I4/mmm (No. 139)
Inequivalent atoms, fractional coordinates:
Ba 0.000 0.000 0.000 x2
Ba 0.000 0.000 0.248 x4
Ba 0.000 0.500 0.121 x8
Na 0.000 0.000 0.500 x2


Record 5
The following is a DFT calculation (GGA-PBE) of an optimized crystal structure of Li2Cd2In7.

M_tot: 0.00 μB per formula unit
Calculated density: 6.4 g/cm3
Energy of formation from the pure elements: -51 meV per atom
Relative energy among the computed polymorphs: 0 meV/atom

Cell: 9.814 10.827 5.685 Å, 90.00 116.33 90.00°
Space group C2/m (No. 12)
Inequivalent atoms, fractional coordinates:
Li 0.000 0.245 0.000 x4
Cd 0.172 0.000 0.092 x4
In 0.000 0.000 0.500 x2
In 0.102 0.500 0.300 x4
In 0.171 0.258 0.678 x8


Record 6
The following is a DFT calculation (GGA-PBE) of an optimized crystal structure of Zr2AsHBr.

M_tot: 0.00 μB per formula unit
Calculated density: 6.7 g/cm3
Uncorrected energy: -5.455 eV/atom

Cell: 4.696 4.696 3.824 Å, 90.00 90.00 90.00°
Space group P4/mmm (No. 123)
Inequivalent atoms, fractional coordinates:
Zr 0.000 0.500 0.000 x2
As 0.000 0.000 0.500 x1
H 0.500 0.500 0.000 x1
Br 0.500 0.500 0.500 x1


Record 7
The following is a DFT calculation (GGA-PBE) of an optimized crystal structure of La12InSn3.

M_tot: 0.00 μB per formula unit
Calculated density: 6.9 g/cm3
Energy of formation from the pure elements: -445 meV per atom

Cell: 5.047 5.047 20.134 Å, 90.00 90.00 90.00°
Space group P4/mmm (No. 123)
Inequivalent atoms, fractional coordinates:
La 0.000 0.000 0.000 x1
La 0.000 0.000 0.248 x2
La 0.000 0.000 0.500 x1
La 0.000 0.500 0.124 x4
La 0.000 0.500 0.373 x4
In 0.500 0.500 0.500 x1
Sn 0.500 0.500 0.000 x1
Sn 0.500 0.500 0.249 x2


Record 8
The following is a DFT calculation (GGA-PBE) of an optimized crystal structure of LiMgF3.

M_tot: 0.00 μB per formula unit
Calculated density: 2.5 g/cm3
Relative energy among the computed polymorphs: 91 meV/atom

Cell: 3.910 3.910 3.910 Å, 90.00 90.00 90.00°
Space group Pm-3m (No. 221)
Inequivalent atoms, fractional coordinates:
Li 0.000 0.000 0.000 x1
Mg 0.500 0.500 0.500 x1
F 0.000 0.500 0.500 x3


Record 9
The following is a DFT calculation (GGA-PBE) of an optimized crystal structure of Tm8NiBi2.

M_tot: 0.00 μB per formula unit
Calculated density: 9.8 g/cm3
Energy of formation from the pure elements: -314 meV per atom

Cell: 18.677 4.577 7.264 Å, 90.00 95.65 90.00°
Space group C2/m (No. 12)
Inequivalent atoms, fractional coordinates:
Tm 0.005 0.000 0.225 x4
Tm 0.094 0.500 0.523 x4
Tm 0.135 0.500 0.052 x4
Tm 0.211 0.000 0.351 x4
Ni 0.000 0.500 0.000 x2
Bi 0.183 0.000 0.789 x4


Record 10
The following is a DFT calculation (GGA-PBE) of an optimized crystal structure of Zn2PBr.

M_tot: 0.00 μB per formula unit
Calculated density: 4.2 g/cm3
Relative energy among the computed polymorphs: 16 meV/atom

Cell: 4.099 4.101 5.738 Å, 90.00 90.03 90.00°
Space group Pm (No. 6)
Inequivalent atoms, fractional coordinates:
Zn 0.000 0.000 0.000 x1
Zn 0.498 0.500 0.626 x1
P 0.998 0.500 0.813 x1
Br 0.498 0.000 0.313 x1


Record 11
The following is a DFT calculation (GGA-PBE) of an optimized crystal structure of Ce3Ir2C.

M_tot: 0.00 μB per formula unit
Calculated density: 10.6 g/cm3
Energy of formation from the pure elements: -449 meV per atom

Cell: 12.795 5.560 7.513 Å, 90.00 107.09 90.00°
Space group C2/c (No. 15)
Inequivalent atoms, fractional coordinates:
Ce 0.000 0.008 0.250 x4
Ce 0.145 0.500 0.072 x8
Ir 0.169 0.000 0.085 x8
C 0.000 0.489 0.250 x4


Record 12
The following is a DFT calculation (GGA-PBE) of an optimized crystal structure of Sm2GaBr.

M_tot: 0.00 μB per formula unit
Calculated density: 7.4 g/cm3
Relative energy among the computed polymorphs: 66 meV/atom

Cell: 3.504 3.504 8.269 Å, 90.00 90.00 90.00°
Space group P4/mmm (No. 123)
Inequivalent atoms, fractional coordinates:
Sm 0.000 0.000 0.227 x2
Ga 0.500 0.500 0.000 x1
Br 0.500 0.500 0.500 x1